## In3GaRh (GGA-PBE)

Data for an optimized crystal structure of In3GaRh.

The calculation puts the energy above the most stable polymorph in this dataset at 0.0000 eV per atom. Its total DFT energy (no corrections) is -3.75 eV/atom. The crystal system is cubic. The energy relative to the elements comes out at -0.03 eV/atom. The density comes out at 6.3 Mg/m³.

The space group is Pm-3m (No. 221) and the conventional cell measures 5.134, 5.134 and 5.134 Å, with angles of 90.00, 90.00 and 90.00 degrees. Symmetry generates all atoms from In at (0.000, 0.000, 0.500), Ga at (0.500, 0.500, 0.500) and Rh at (0.000, 0.000, 0.000).

***

## Pd3PbS (GGA-PBE)

Data for an optimized crystal structure of Pd3PbS.

The calculation puts the energy above the most stable polymorph in this dataset at 0.1799 eV per atom. Its total DFT energy (no corrections) is -4.74 eV/atom. The crystal system is hexagonal. The calculation puts the energy relative to the elements, uncorrected at -52 meV/atom. The density comes out at 10.0 Mg/m³.

The space group is P6_3/mmc (No. 194) and the conventional cell measures 6.3470, 6.3470 and 5.3104 Å, with angles of 90.00, 90.00 and 120.00 degrees. Symmetry generates all atoms from Pd at (0.1876, 0.3751, 0.2500), Pb at (0.3333, 0.6667, 0.7500) and S at (0.0000, 0.0000, 0.0000).

***

## BeV2Pb (GGA-PBE)

Data for an optimized crystal structure of BeV2Pb.

The calculation puts the energy above the most stable polymorph in this dataset at 0.0000 eV per atom. Its total DFT energy (no corrections) is -5.78 eV/atom. The crystal system is cubic. The energy relative to the elements comes out at 0.64 eV/atom. The density comes out at 8.6 Mg/m³.

The space group is Fm-3m (No. 225) and the conventional cell measures 6.267, 6.267 and 6.267 Å, with angles of 90.00, 90.00 and 90.00 degrees. Symmetry generates all atoms from Be at (0.000, 0.000, 0.000), V at (0.250, 0.250, 0.250) and Pb at (0.000, 0.000, 0.500).

***

## CaAu2 (GGA-PBE)

Data for an optimized crystal structure of CaAu2.

Its total DFT energy (no corrections) is -3.28 eV/atom. The crystal system is cubic. The energy relative to the elements comes out at -0.43 eV/atom. The density comes out at 8.9 Mg/m³.

The space group is Fm-3m (No. 225) and the conventional cell measures 6.878, 6.878 and 6.878 Å, with angles of 90.00, 90.00 and 90.00 degrees. Symmetry generates all atoms from Ca at (0.000, 0.000, 0.000) and Au at (0.250, 0.250, 0.250).